This record from the Alexandria database describes an optimized crystal structure of ReIrPd. The functional is PBE.

Energy: -8.078 eV/atom
ΔE to the lowest computed polymorph: 0.798 eV per atom

Lattice parameters (Å, degrees): 3.6237 3.6237 4.7490 90.00 90.00 120.00
Space group P3m1 (No. 156)
Inequivalent atoms, fractional coordinates:
Re 0.0000 0.0000 0.0000 (multiplicity 1)
Ir 0.6667 0.3333 0.2479 (multiplicity 1)
Pd 0.3333 0.6667 0.6422 (multiplicity 1)

---

This record from the Alexandria database describes an optimized crystal structure of KRuRh. The functional is PBE.

Energy: -5.047 eV/atom
ΔE to the lowest computed polymorph: 0.377 eV per atom

Lattice parameters (Å, degrees): 4.0993 4.0993 5.5058 90.00 90.00 120.00
Space group P-6m2 (No. 187)
Inequivalent atoms, fractional coordinates:
K 0.0000 0.0000 0.0000 (multiplicity 1)
Ru 0.3333 0.6667 0.5000 (multiplicity 1)
Rh 0.6667 0.3333 0.5000 (multiplicity 1)

---

This record from the Alexandria database describes an optimized crystal structure of BaBe2HgCl6. The functional is PBE.

Energy: -3.626 eV/atom
Formation energy (no corrections): -35.76 kcal/mol of atoms

Lattice parameters (Å, degrees): 12.805 11.962 10.329 90.00 112.87 90.00
Space group C2/c (No. 15)
Inequivalent atoms, fractional coordinates:
Ba 0.000 0.071 0.250 (multiplicity 4)
Be 0.216 0.139 0.737 (multiplicity 8)
Hg 0.000 0.422 0.750 (multiplicity 4)
Cl 0.066 0.131 0.584 (multiplicity 8)
Cl 0.166 0.274 0.282 (multiplicity 8)
Cl 0.235 0.051 0.899 (multiplicity 8)

---

This record from the Alexandria database describes an optimized crystal structure of Ce6PaGa. The functional is PBE.

Energy: -5.842 eV/atom

Lattice parameters (Å, degrees): 8.020 6.698 8.517 90.00 104.36 90.00
Space group C2/m (No. 12)
Inequivalent atoms, fractional coordinates:
Ce 0.180 0.000 0.048 (multiplicity 4)
Ce 0.208 0.263 0.300 (multiplicity 8)
Pa 0.000 0.500 0.000 (multiplicity 2)
Ga 0.000 0.500 0.500 (multiplicity 2)

---

This record from the Alexandria database describes an optimized crystal structure of Tl2HgO. The functional is PBE.

Energy: -2.509 eV/atom
Formation energy (no corrections): -0.25 kcal/mol of atoms
ΔE to the lowest computed polymorph: 0.425 eV per atom

Lattice parameters (Å, degrees): 7.215 7.215 7.215 90.00 90.00 90.00
Space group Fm-3m (No. 225)
Inequivalent atoms, fractional coordinates:
Tl 0.250 0.250 0.250 (multiplicity 8)
Hg 0.000 0.000 0.000 (multiplicity 4)
O 0.000 0.000 0.500 (multiplicity 4)

---

This record from the Alexandria database describes an optimized crystal structure of V5Pb3S12. The functional is PBE.

Energy: -5.983 eV/atom
Formation energy (no corrections): -15.47 kcal/mol of atoms

Lattice parameters (Å, degrees): 15.251 15.251 15.251 90.00 90.00 90.00
Space group Ia-3d (No. 230)
Inequivalent atoms, fractional coordinates:
V 0.000 0.000 0.000 (multiplicity 16)
V 0.000 0.250 0.375 (multiplicity 24)
Pb 0.000 0.250 0.125 (multiplicity 24)
S 0.035 0.050 0.648 (multiplicity 96)

---

This record from the Alexandria database describes an optimized crystal structure of AcAl5. The functional is PBE.

Energy: -3.863 eV/atom

Lattice parameters (Å, degrees): 4.460 12.797 4.593 90.00 90.00 90.00
Space group Cmmm (No. 65)
Inequivalent atoms, fractional coordinates:
Ac 0.000 0.000 0.000 (multiplicity 2)
Al 0.000 0.179 0.500 (multiplicity 4)
Al 0.000 0.311 0.000 (multiplicity 4)
Al 0.000 0.500 0.500 (multiplicity 2)

---

This record from the Alexandria database describes an optimized crystal structure of TlTc2Au. The functional is PBE.

Energy: -5.837 eV/atom
ΔE to the lowest computed polymorph: 0.481 eV per atom

Lattice parameters (Å, degrees): 2.933 2.933 8.093 90.00 90.00 90.00
Space group P4/mmm (No. 123)
Inequivalent atoms, fractional coordinates:
Tl 0.000 0.000 0.000 (multiplicity 1)
Tc 0.500 0.500 0.264 (multiplicity 2)
Au 0.000 0.000 0.500 (multiplicity 1)